Computed, not measured: a relaxed structure of ScPaZnRu at the PBE-GGA level of DFT.

CIF file:
```
data_ScPaZnRu
_symmetry_space_group_name_H-M 'F -4 3 m'
_symmetry_Int_Tables_number 216
_symmetry_space_group_name_Hall 'F -4 2 3'
_cell_length_a 6.785
_cell_length_b 6.785
_cell_length_c 6.785
_cell_angle_alpha 90.00
_cell_angle_beta 90.00
_cell_angle_gamma 90.00
loop_
_atom_site_label
_atom_site_fract_x
_atom_site_fract_y
_atom_site_fract_z
Sc1 0.000 0.000 0.000
Pa1 0.000 0.000 0.500
Zn1 0.250 0.250 0.750
Ru1 0.250 0.250 0.250
```

VASP energy = -0.252 hartree per atom
DOS at the Fermi energy = 17.61 states/eV per cell